(1)
DFT (PBE) results for Ac4Bi2N2O after structural relaxation.

a = 7.6676 Å, b = 7.6676 Å, c = 8.1456 Å
α = 105.82°, β = 105.82°, γ = 32.95°
Atoms (fractional coordinates):
Ac1 0.0157 0.0157 0.2977
Ac2 0.2945 0.2945 0.3486
Ac3 0.7055 0.7055 0.6514
Ac4 0.9843 0.9843 0.7023
Bi1 0.3863 0.3863 0.9623
Bi2 0.6137 0.6137 0.0377
N1 0.1666 0.1666 0.4991
N2 0.8334 0.8334 0.5009
O1 0.5000 0.5000 0.5000

## Properties
total magnetic moment	0.000	μB per formula unit
E	-6.50	eV/atom
raw formation energy	-1415.3	meV per atom



(2)
DFT (PBE) results for Ac4Bi2NO2 after structural relaxation.

a = 8.1326 Å, b = 8.1326 Å, c = 7.9420 Å
α = 107.51°, β = 107.51°, γ = 29.45°
Atoms (fractional coordinates):
Ac1 0.0211 0.0211 0.2856
Ac2 0.2977 0.2977 0.3377
Ac3 0.7023 0.7023 0.6623
Ac4 0.9789 0.9789 0.7144
Bi1 0.3668 0.3668 0.9579
Bi2 0.6332 0.6332 0.0421
N1 0.5000 0.5000 0.5000
O1 0.1743 0.1743 0.4921
O2 0.8257 0.8257 0.5079

## Properties
total magnetic moment	0.000	μB per formula unit
E	-6.55	eV/atom
raw formation energy	-1836.3	meV per atom



(3)
DFT (PBE) results for Ac3BiPN after structural relaxation.

a = 9.3979 Å, b = 4.5256 Å, c = 10.1100 Å
α = 90.00°, β = 104.27°, γ = 90.00°
Atoms (fractional coordinates):
Ac1 0.0615 0.2500 0.3405
Ac2 0.3340 0.2500 0.9753
Ac3 0.3953 0.7500 0.6597
Ac4 0.6047 0.2500 0.3403
Ac5 0.6660 0.7500 0.0247
Ac6 0.9385 0.7500 0.6595
Bi1 0.3039 0.7500 0.2676
Bi2 0.6961 0.2500 0.7324
P1 0.1590 0.2500 0.6435
P2 0.8410 0.7500 0.3565
N1 0.4109 0.7500 0.8957
N2 0.5891 0.2500 0.1043

## Properties
total magnetic moment	0.000	μB per formula unit
E	-6.16	eV/atom
raw formation energy	-1168.8	meV per atom



(4)
DFT (PBE) results for AcPaBiN2 after structural relaxation.

a = 7.6988 Å, b = 7.6988 Å, c = 5.7729 Å
α = 90.00°, β = 90.00°, γ = 134.98°
Atoms (fractional coordinates):
Ac1 0.0956 0.9044 0.7500
Ac2 0.9044 0.0956 0.2500
Pa1 0.4312 0.5688 0.7500
Pa2 0.5688 0.4312 0.2500
Bi1 0.2500 0.7500 0.2500
Bi2 0.7500 0.2500 0.7500
N1 0.2756 0.2756 0.0000
N2 0.2756 0.2756 0.5000
N3 0.7244 0.7244 0.0000
N4 0.7244 0.7244 0.5000

## Properties
total magnetic moment	0.000	μB per formula unit
E	-8.20	eV/atom
raw formation energy	-1367.9	meV per atom



Number 2 is which compound? Ac4Bi2NO2



Which formula does entry 1 have? Ac4Bi2N2O